(1)
Density functional theory data (GGA-PBE) for a geometry-optimized LiRh2Se structure.

```
4
Lattice="4.3635 0.0000 0.0000 2.1817 3.7789 0.0000 2.1817 1.2596 3.5628" Properties=species:S:1:pos:R:3 pbc="T T T"
Se 6.5452 3.7789 2.6721
Li 4.3635 2.5193 1.7814
Rh 2.1817 1.2596 0.8907
Rh 0.0000 0.0000 0.0000
```

Properties
electronic total energy = -5.074 eV/atom
spin magnetization = 0.40 μB per cell

---

(2)
Density functional theory data (GGA-PBE) for a geometry-optimized Nd3TmPd3 structure.

```
14
Lattice="7.0143 1.1698 0.3225 -2.0776 6.8009 0.3225 -0.3914 -0.6320 7.2215" Properties=species:S:1:pos:R:3 pbc="T T T"
Tm 1.1945 1.9286 1.0730
Pd 4.5520 7.3496 1.9406
Nd 3.0772 4.9685 3.0920
Tm 3.3508 5.4101 6.7935
Pd -0.9363 3.2228 2.2239
Pd 1.2428 6.7412 5.6426
Nd -0.6858 5.5017 3.9333
Pd 5.4815 4.1159 5.6426
Pd 3.3025 0.5975 2.2239
Nd 4.6908 2.6088 0.3225
Pd -0.0067 -0.0109 5.9259
Nd 5.2310 1.8370 3.9333
Nd 0.2458 5.3619 0.3225
Nd 1.4680 2.3702 4.7746
```

Properties
electronic total energy = -5.537 eV/atom
spin magnetization = 0.00 μB per cell

---

(3)
Density functional theory data (GGA-PBE) for a geometry-optimized YAs2Os structure.

```
4
Lattice="-1.5935 -2.8057 0.0353 1.5676 -0.3179 2.8025 -5.3752 3.0951 3.3578" Properties=species:S:1:pos:R:3 pbc="T T T"
Os -1.3567 -0.7880 2.2584
As -2.4972 1.4379 1.5599
Y -4.0443 0.7595 3.9372
As -0.1904 0.1097 0.1190
```

Properties
electronic total energy = -6.883 eV/atom
spin magnetization = 0.00 μB per cell
E above lowest polymorph = 156.2 kJ/mol of formula units